Entry 1:
Below is a relaxed Sb3Mo crystal, with properties calculated at the PBE level.

a b c (Å): 3.4247 3.4247 7.6763
angles (deg): 90.00 90.00 90.00
Element x y z (fractional)
Sb (0.0000, 0.0000, 0.0000)
Sb (0.5000, 0.5000, 0.2959)
Sb (0.5000, 0.5000, 0.7041)
Mo (0.0000, 0.0000, 0.5000)

Summary:
Its distance to the lowest polymorph of the same formula is 25.2 meV/atom. The value obtained for the energy relative to the elements, uncorrected is 0.18 eV/atom. The space group is P4/mmm (123). Its mass density is 8.51 g cm⁻³.



Entry 2:
Below is a relaxed HfPaAu2 crystal, with properties calculated at the PBE level.

a b c (Å): 5.2343 5.2343 3.1457
angles (deg): 90.00 90.00 90.00
Element x y z (fractional)
Hf (0.0000, 0.0000, 0.0000)
Pa (0.5000, 0.5000, 0.0000)
Au (0.0000, 0.5000, 0.5000)
Au (0.5000, 0.0000, 0.5000)

Summary:
Its distance to the lowest polymorph of the same formula is 107.3 meV/atom. The space group is P4/mmm (123). Its mass density is 15.48 g cm⁻³. Its formation energy is -1.0 eV per formula unit.



Entry 3:
Below is a relaxed Mg2RuPt crystal, with properties calculated at the PBE level.

a b c (Å): 2.7818 4.1680 5.5266
angles (deg): 90.00 90.00 90.00
Element x y z (fractional)
Mg (0.0000, 0.0000, 0.0000)
Mg (0.5000, 0.5000, 0.2931)
Ru (0.5000, 0.5000, 0.7810)
Pt (0.0000, 0.0000, 0.5118)

Summary:
The space group is Pmm2 (25). Its mass density is 8.93 g cm⁻³. Its formation energy is -0.8 eV per formula unit.